No. 1
Below is TbZnNiAu after structural relaxation, with properties calculated at the PBE level.

The structure belongs to space group F-43m (No. 216); the cell edges are 6.625, 6.625 and 6.625 Å and the angles 90.00°, 90.00° and 90.00°. The asymmetric unit holds Tb at (0.000, 0.000, 0.000), Zn at (0.000, 0.000, 0.500), Ni at (0.250, 0.250, 0.750) and Au at (0.250, 0.250, 0.250).

Its magnetization is 0.00 μB per cell. The formation energy comes out at -0.392 eV/atom.

No. 2
Below is TbZrNiAu after structural relaxation, with properties calculated at the PBE level.

The structure belongs to space group F-43m (No. 216); the cell edges are 6.860, 6.860 and 6.860 Å and the angles 90.00°, 90.00° and 90.00°. The asymmetric unit holds Tb at (0.000, 0.000, 0.000), Zr at (0.000, 0.000, 0.500), Ni at (0.250, 0.250, 0.750) and Au at (0.250, 0.250, 0.250).

Its magnetization is 0.00 μB per cell. The formation energy comes out at -0.397 eV/atom.

Repeat the first record exactly.
Below is TbZnNiAu after structural relaxation, with properties calculated at the PBE level.

The structure belongs to space group F-43m (No. 216); the cell edges are 6.625, 6.625 and 6.625 Å and the angles 90.00°, 90.00° and 90.00°. The asymmetric unit holds Tb at (0.000, 0.000, 0.000), Zn at (0.000, 0.000, 0.500), Ni at (0.250, 0.250, 0.750) and Au at (0.250, 0.250, 0.250).

Its magnetization is 0.00 μB per cell. The formation energy comes out at -0.392 eV/atom.